[1]
# Sr2Cd12Au7, relaxed, DFT PBE
data_Sr2Cd12Au7
_chemical_formula_sum 'Sr2 Cd12 Au7'
_symmetry_space_group_name_H-M 'P -6'
_symmetry_Int_Tables_number 174
_symmetry_space_group_name_Hall 'P -6'
_cell_length_a 11.2101
_cell_length_b 11.2101
_cell_length_c 4.4787
_cell_angle_alpha 90.00
_cell_angle_beta 90.00
_cell_angle_gamma 120.00
loop_
_atom_site_label
_atom_site_fract_x
_atom_site_fract_y
_atom_site_fract_z
_atom_site_occupancy
Sr1 0.0000 0.0000 0.0000 1
Sr2 0.3333 0.6667 0.5000 1
Cd1 0.0355 0.2935 0.5000 1
Cd2 0.1242 0.7436 0.0000 1
Cd3 0.3787 0.1831 0.0000 1
Cd4 0.5438 0.4200 0.5000 1
Au1 0.0607 0.4719 0.0000 1
Au2 0.2369 0.2113 0.5000 1
Au3 0.6667 0.3333 0.0000 1
# - DFT formation energy: -0.326 eV/atom
# - Magnetization: 0.0 μB per formula unit
# - DOS at the Fermi energy: 0.4159 states/eV per atom


[2]
# TbMg7Zn5, relaxed, DFT PBE
data_TbMg7Zn5
_chemical_formula_sum 'Tb2 Mg14 Zn10'
_symmetry_space_group_name_H-M 'I m m 2'
_symmetry_Int_Tables_number 44
_symmetry_space_group_name_Hall 'I 2 -2'
_cell_length_a 5.5160
_cell_length_b 9.5099
_cell_length_c 9.6452
_cell_angle_alpha 90.00
_cell_angle_beta 90.00
_cell_angle_gamma 90.00
loop_
_atom_site_label
_atom_site_fract_x
_atom_site_fract_y
_atom_site_fract_z
_atom_site_occupancy
Tb1 0.0000 0.0000 0.0000 1
Mg1 0.0000 0.0000 0.3407 1
Mg2 0.0000 0.0000 0.6486 1
Mg3 0.0000 0.2956 0.4966 1
Mg4 0.0000 0.3462 0.9903 1
Mg5 0.0000 0.5000 0.2730 1
Zn1 0.0000 0.5000 0.7096 1
Zn2 0.2499 0.2441 0.2438 1
# - DFT formation energy: -0.143 eV/atom
# - Magnetization: 0.0 μB per formula unit
# - DOS at the Fermi energy: 0.3580 states/eV per atom


[3]
# Mg6AlCuO8, relaxed, DFT PBE
data_Mg6AlCuO8
_chemical_formula_sum 'Mg6 Al1 Cu1 O8'
_symmetry_space_group_name_H-M 'P 4/m m m'
_symmetry_Int_Tables_number 123
_symmetry_space_group_name_Hall '-P 4 2'
_cell_length_a 4.2177
_cell_length_b 4.2177
_cell_length_c 8.6767
_cell_angle_alpha 90.00
_cell_angle_beta 90.00
_cell_angle_gamma 90.00
loop_
_atom_site_label
_atom_site_fract_x
_atom_site_fract_y
_atom_site_fract_z
_atom_site_occupancy
Mg1 0.0000 0.0000 0.0000 1
Mg2 0.0000 0.0000 0.5000 1
Mg3 0.0000 0.5000 0.2421 1
Al1 0.5000 0.5000 0.5000 1
Cu1 0.5000 0.5000 0.0000 1
O1 0.0000 0.0000 0.2509 1
O2 0.0000 0.5000 0.0000 1
O3 0.0000 0.5000 0.5000 1
O4 0.5000 0.5000 0.2908 1
# - Magnetization: 0.0 μB per formula unit
# - DOS at the Fermi energy: 0.0639 states/eV per atom
# - Energy above the most stable polymorph in this dataset: 0.00 eV/f.u.
# - E_form (uncorrected): -2434 meV/atom


[4]
# TlCu5, relaxed, DFT PBE
data_TlCu5
_chemical_formula_sum 'Tl2 Cu10'
_symmetry_space_group_name_H-M 'C m m m'
_symmetry_Int_Tables_number 65
_symmetry_space_group_name_Hall '-C 2 2'
_cell_length_a 3.8514
_cell_length_b 11.2707
_cell_length_c 3.8729
_cell_angle_alpha 90.00
_cell_angle_beta 90.00
_cell_angle_gamma 90.00
loop_
_atom_site_label
_atom_site_fract_x
_atom_site_fract_y
_atom_site_fract_z
_atom_site_occupancy
Tl1 0.0000 0.0000 0.0000 1
Cu1 0.0000 0.1771 0.5000 1
Cu2 0.0000 0.3235 0.0000 1
Cu3 0.0000 0.5000 0.5000 1
# - DFT formation energy: 0.169 eV/atom
# - Magnetization: 0.0 μB per formula unit
# - DOS at the Fermi energy: 0.2673 states/eV per atom


[5]
# PrGdDyHg, relaxed, DFT PBE
data_PrGdDyHg
_chemical_formula_sum 'Pr4 Gd4 Dy4 Hg4'
_symmetry_space_group_name_H-M 'F -4 3 m'
_symmetry_Int_Tables_number 216
_symmetry_space_group_name_Hall 'F -4 2 3'
_cell_length_a 7.7792
_cell_length_b 7.7792
_cell_length_c 7.7792
_cell_angle_alpha 90.00
_cell_angle_beta 90.00
_cell_angle_gamma 90.00
loop_
_atom_site_label
_atom_site_fract_x
_atom_site_fract_y
_atom_site_fract_z
_atom_site_occupancy
Pr1 0.0000 0.0000 0.0000 1
Gd1 0.0000 0.0000 0.5000 1
Dy1 0.2500 0.2500 0.2500 1
Hg1 0.2500 0.2500 0.7500 1
# - DFT formation energy: -0.074 eV/atom
# - Magnetization: 7.9 μB per formula unit
# - DOS at the Fermi energy: 1.3791 states/eV per atom


[6]
# SmHgBiPt, relaxed, DFT PBE
data_SmHgBiPt
_chemical_formula_sum 'Sm4 Hg4 Bi4 Pt4'
_symmetry_space_group_name_H-M 'F -4 3 m'
_symmetry_Int_Tables_number 216
_symmetry_space_group_name_Hall 'F -4 2 3'
_cell_length_a 7.2729
_cell_length_b 7.2729
_cell_length_c 7.2729
_cell_angle_alpha 90.00
_cell_angle_beta 90.00
_cell_angle_gamma 90.00
loop_
_atom_site_label
_atom_site_fract_x
_atom_site_fract_y
_atom_site_fract_z
_atom_site_occupancy
Sm1 0.0000 0.0000 0.0000 1
Hg1 0.2500 0.2500 0.7500 1
Bi1 0.0000 0.0000 0.5000 1
Pt1 0.2500 0.2500 0.2500 1
# - DFT formation energy: -0.549 eV/atom
# - Magnetization: 0.0 μB per formula unit
# - DOS at the Fermi energy: 0.1467 states/eV per atom


[7]
# BaU2TiS8, relaxed, DFT PBE
data_BaU2TiS8
_chemical_formula_sum 'Ba1 U2 Ti1 S8'
_symmetry_space_group_name_H-M 'P 1 2/m 1'
_symmetry_Int_Tables_number 10
_symmetry_space_group_name_Hall '-P 2y'
_cell_length_a 6.0071
_cell_length_b 8.2609
_cell_length_c 6.3562
_cell_angle_alpha 90.00
_cell_angle_beta 92.69
_cell_angle_gamma 90.00
loop_
_atom_site_label
_atom_site_fract_x
_atom_site_fract_y
_atom_site_fract_z
_atom_site_occupancy
Ba1 0.0000 0.0000 0.0000 1
U1 0.5000 0.2585 0.5000 1
Ti1 0.0000 0.5000 0.0000 1
S1 0.2400 0.3034 0.1673 1
S2 0.2719 0.5000 0.6697 1
S3 0.2747 0.0000 0.6090 1
# - Magnetization: 2.0 μB per formula unit
# - DOS at the Fermi energy: 0.9539 states/eV per atom
# - E_form (uncorrected): -1241 meV/atom


[8]
# TmCuRu, relaxed, DFT PBE
data_TmCuRu
_chemical_formula_sum 'Tm3 Cu3 Ru3'
_symmetry_space_group_name_H-M 'P -6 2 m'
_symmetry_Int_Tables_number 189
_symmetry_space_group_name_Hall 'P -6 -2'
_cell_length_a 7.0556
_cell_length_b 7.0556
_cell_length_c 3.6071
_cell_angle_alpha 90.00
_cell_angle_beta 90.00
_cell_angle_gamma 120.00
loop_
_atom_site_label
_atom_site_fract_x
_atom_site_fract_y
_atom_site_fract_z
_atom_site_occupancy
Tm1 0.0000 0.3844 0.0000 1
Cu1 0.0000 0.0000 0.0000 1
Cu2 0.3333 0.6667 0.5000 1
Ru1 0.0000 0.7353 0.5000 1
# - DFT formation energy: -0.174 eV/atom
# - Magnetization: 0.0 μB per formula unit
# - DOS at the Fermi energy: 1.2055 states/eV per atom
# - Energy above the most stable polymorph in this dataset: 0.51 eV/f.u.


[9]
# Si2SnRu, relaxed, DFT PBE
data_Si2SnRu
_chemical_formula_sum 'Si8 Sn4 Ru4'
_symmetry_space_group_name_H-M 'I -4 2 d'
_symmetry_Int_Tables_number 122
_symmetry_space_group_name_Hall 'I -4 2bw'
_cell_length_a 5.6065
_cell_length_b 5.6065
_cell_length_c 11.8571
_cell_angle_alpha 90.00
_cell_angle_beta 90.00
_cell_angle_gamma 90.00
loop_
_atom_site_label
_atom_site_fract_x
_atom_site_fract_y
_atom_site_fract_z
_atom_site_occupancy
Si1 0.1889 0.2500 0.1250 1
Sn1 0.0000 0.0000 0.5000 1
Ru1 0.0000 0.0000 0.0000 1
# - Magnetization: 0.0 μB per formula unit
# - DOS at the Fermi energy: 0.0444 states/eV per atom
# - E_form (uncorrected): 278 meV/atom


[10]
# LiAcI2O8, relaxed, DFT PBE
data_LiAcI2O8
_chemical_formula_sum 'Li2 Ac2 I4 O16'
_symmetry_space_group_name_H-M 'I -4 m 2'
_symmetry_Int_Tables_number 119
_symmetry_space_group_name_Hall 'I -4 -2'
_cell_length_a 7.7718
_cell_length_b 7.7718
_cell_length_c 7.0500
_cell_angle_alpha 90.00
_cell_angle_beta 90.00
_cell_angle_gamma 90.00
loop_
_atom_site_label
_atom_site_fract_x
_atom_site_fract_y
_atom_site_fract_z
_atom_site_occupancy
Li1 0.0000 0.0000 0.0000 1
Ac1 0.0000 0.5000 0.7500 1
I1 0.0000 0.0000 0.5000 1
I2 0.0000 0.5000 0.2500 1
O1 0.0000 0.1832 0.6754 1
O2 0.0000 0.3168 0.0743 1
# - Magnetization: 0.1 μB per formula unit
# - DOS at the Fermi energy: 0.0968 states/eV per atom
# - E_form (uncorrected): -1004 meV/atom


[11]
# CaSb2Br, relaxed, DFT PBE
data_CaSb2Br
_chemical_formula_sum 'Ca1 Sb2 Br1'
_symmetry_space_group_name_H-M 'P 4 m m'
_symmetry_Int_Tables_number 99
_symmetry_space_group_name_Hall 'P 4 -2'
_cell_length_a 3.9188
_cell_length_b 3.9188
_cell_length_c 8.3157
_cell_angle_alpha 90.00
_cell_angle_beta 90.00
_cell_angle_gamma 90.00
loop_
_atom_site_label
_atom_site_fract_x
_atom_site_fract_y
_atom_site_fract_z
_atom_site_occupancy
Ca1 0.0000 0.0000 0.0000 1
Sb1 0.0000 0.0000 0.4133 1
Sb2 0.5000 0.5000 0.2690 1
Br1 0.5000 0.5000 0.8222 1
# - Magnetization: 0.0 μB per formula unit
# - DOS at the Fermi energy: 0.2477 states/eV per atom
# - Energy above the most stable polymorph in this dataset: 0.26 eV/f.u.
# - E_form (uncorrected): -772 meV/atom


[12]
# Be2MoRu5W2, relaxed, DFT PBE
data_Be2MoRu5W2
_chemical_formula_sum 'Be4 Mo2 Ru10 W4'
_symmetry_space_group_name_H-M 'P 4/m b m'
_symmetry_Int_Tables_number 127
_symmetry_space_group_name_Hall '-P 4 2ab'
_cell_length_a 9.4313
_cell_length_b 9.4313
_cell_length_c 2.9994
_cell_angle_alpha 90.00
_cell_angle_beta 90.00
_cell_angle_gamma 90.00
loop_
_atom_site_label
_atom_site_fract_x
_atom_site_fract_y
_atom_site_fract_z
_atom_site_occupancy
Be1 0.1210 0.3790 0.0000 1
Mo1 0.0000 0.0000 0.0000 1
Ru1 0.0000 0.5000 0.5000 1
Ru2 0.0728 0.2108 0.5000 1
W1 0.1758 0.6758 0.0000 1
# - DFT formation energy: -0.077 eV/atom
# - Magnetization: 0.0 μB per formula unit
# - DOS at the Fermi energy: 0.3603 states/eV per atom